Entry 1:
A crystal of Cs2GaNiPt relaxed with PBEsol, computed with SCAN.

Calculated formation energy in eV/atom: 0.62
Crystal system: tetragonal
DFT total energy in eV per cell: -175.22

The structure in CIF format:
```
data_Cs2GaNiPt
_cell_length_a 5.5716
_cell_length_b 5.5716
_cell_length_c 4.6188
_cell_angle_alpha 90.00
_cell_angle_beta 90.00
_cell_angle_gamma 90.00
_space_group_name_H-M_alt 'P 4/m m m'
_space_group_IT_number 123
_space_group_name_Hall '-P 4 2'
loop_
_atom_site_label
_atom_site_fract_x
_atom_site_fract_y
_atom_site_fract_z
Cs1 0.0000 0.5000 0.0000
Ga1 0.0000 0.0000 0.5000
Ni1 0.0000 0.0000 0.0000
Pt1 0.5000 0.5000 0.5000
```



Entry 2:
A crystal of Er5BiPd2 relaxed with PBEsol, computed with SCAN.

Calculated formation energy in eV/atom: -0.82
Crystal system: tetragonal
DFT total energy in eV per cell: -1609.47

The structure in CIF format:
```
data_Er5BiPd2
_cell_length_a 7.6401
_cell_length_b 7.6401
_cell_length_c 13.3899
_cell_angle_alpha 90.00
_cell_angle_beta 90.00
_cell_angle_gamma 90.00
_space_group_name_H-M_alt 'I 4/m c m'
_space_group_IT_number 140
_space_group_name_Hall '-I 4 2c'
loop_
_atom_site_label
_atom_site_fract_x
_atom_site_fract_y
_atom_site_fract_z
Er1 0.0000 0.0000 0.0000
Er2 0.1549 0.3451 0.1400
Bi1 0.0000 0.0000 0.2500
Pd1 0.1364 0.3636 0.5000
```